1.
First-principles (SCAN) data for AgTeN2F at its PBEsol-relaxed geometry, as listed in the Alexandria database.

Cell and atoms, written as POSCAR:
```
AgTeN2F
1.0
4.100 0.000 0.000
0.000 4.100 0.000
0.000 0.000 3.986
Ag Te N F
1 1 2 1
Direct
0.000 0.000 0.000
0.500 0.500 0.500
0.000 0.500 0.000
0.500 0.000 0.000
0.000 0.000 0.500
```

Values from the calculation:
space-group type = P4/mmm (123)
raw formation energy = 1.201 eV per atom

2.
First-principles (SCAN) data for EuInPd at its PBEsol-relaxed geometry, as listed in the Alexandria database.

Cell and atoms, written as POSCAR:
```
EuInPd
1.0
7.256 0.000 0.000
0.000 4.451 0.000
0.000 0.000 8.390
Eu In Pd
4 4 4
Direct
0.035 0.250 0.179
0.465 0.750 0.679
0.535 0.250 0.321
0.965 0.750 0.821
0.145 0.250 0.563
0.355 0.750 0.063
0.645 0.250 0.937
0.855 0.750 0.437
0.234 0.750 0.376
0.266 0.250 0.876
0.734 0.750 0.124
0.766 0.250 0.624
```

Values from the calculation:
space-group type = Pnma (62)
energy of formation = -0.79 eV/atom

3.
First-principles (SCAN) data for ZnHg3 at its PBEsol-relaxed geometry, as listed in the Alexandria database.

Cell and atoms, written as POSCAR:
```
ZnHg3
1.0
3.123 0.000 0.000
0.000 3.123 0.000
0.000 0.000 8.462
Zn Hg
1 3
Direct
0.000 0.000 0.000
0.000 0.000 0.500
0.500 0.500 0.223
0.500 0.500 0.777
```

Values from the calculation:
offset from the most stable computed form = 5.8 kJ per mole of atoms
space-group type = P4/mmm (123)
energy of formation = 0.13 eV/atom

4.
First-principles (SCAN) data for EuInAu at its PBEsol-relaxed geometry, as listed in the Alexandria database.

Cell and atoms, written as POSCAR:
```
EuInAu
1.0
7.385 0.000 0.000
0.000 4.659 0.000
0.000 0.000 8.337
Eu In Au
4 4 4
Direct
0.023 0.250 0.187
0.477 0.750 0.687
0.523 0.250 0.313
0.977 0.750 0.813
0.160 0.250 0.567
0.340 0.750 0.067
0.660 0.250 0.933
0.840 0.750 0.433
0.227 0.750 0.387
0.273 0.250 0.887
0.727 0.750 0.113
0.773 0.250 0.613
```

Values from the calculation:
space-group type = Pnma (62)
energy of formation = -0.85 eV/atom

5.
First-principles (SCAN) data for Tb3Sc at its PBEsol-relaxed geometry, as listed in the Alexandria database.

Cell and atoms, written as POSCAR:
```
Tb3Sc
1.0
4.849 0.000 0.000
0.000 4.849 0.000
0.000 0.000 9.588
Tb Sc
6 2
Direct
0.000 0.000 0.000
0.000 0.500 0.250
0.000 0.500 0.750
0.500 0.000 0.250
0.500 0.000 0.750
0.500 0.500 0.500
0.000 0.000 0.500
0.500 0.500 0.000
```

Values from the calculation:
offset from the most stable computed form = 0.4 kJ per mole of atoms
space-group type = I4/mmm (139)
energy of formation = 0.04 eV/atom

6.
First-principles (SCAN) data for HgBr2 at its PBEsol-relaxed geometry, as listed in the Alexandria database.

Cell and atoms, written as POSCAR:
```
HgBr2
1.0
3.856 0.000 0.000
0.000 13.708 0.000
0.000 0.000 7.101
Hg Br
4 8
Direct
0.000 0.083 0.250
0.000 0.917 0.750
0.500 0.417 0.750
0.500 0.583 0.250
0.000 0.282 0.750
0.000 0.444 0.250
0.000 0.556 0.750
0.000 0.718 0.250
0.500 0.056 0.750
0.500 0.218 0.250
0.500 0.782 0.750
0.500 0.944 0.250
```

Values from the calculation:
space-group type = Cmcm (63)
raw formation energy = -0.334 eV per atom

7.
First-principles (SCAN) data for KLiHg2 at its PBEsol-relaxed geometry, as listed in the Alexandria database.

Cell and atoms, written as POSCAR:
```
KLiHg2
1.0
8.421 0.000 0.000
0.000 4.854 0.000
-2.758 0.000 5.960
K Li Hg
2 2 4
Direct
0.000 0.000 0.000
0.500 0.500 0.000
0.319 0.500 0.457
0.819 0.000 0.457
0.003 0.500 0.508
0.192 0.000 0.576
0.503 0.000 0.508
0.692 0.500 0.576
```

Values from the calculation:
offset from the most stable computed form = 3.0 kJ per mole of atoms
space-group type = Cm (8)
energy of formation = -0.32 eV/atom

8.
First-principles (SCAN) data for MgS2Br at its PBEsol-relaxed geometry, as listed in the Alexandria database.

Cell and atoms, written as POSCAR:
```
MgS2Br
1.0
6.679 0.000 0.000
0.000 6.679 0.000
0.000 0.000 6.679
Mg S Br
4 8 4
Direct
0.000 0.000 0.000
0.000 0.500 0.500
0.500 0.000 0.500
0.500 0.500 0.000
0.250 0.250 0.250
0.250 0.250 0.750
0.250 0.750 0.250
0.250 0.750 0.750
0.750 0.250 0.250
0.750 0.250 0.750
0.750 0.750 0.250
0.750 0.750 0.750
0.000 0.000 0.500
0.000 0.500 0.000
0.500 0.000 0.000
0.500 0.500 0.500
```

Values from the calculation:
space-group type = Fm-3m (225)
raw formation energy = 0.313 eV per atom